## CdAu (PBE-GGA)

Data for CdAu after structural relaxation.

The total magnetization comes out at 0.0 μB per formula unit. The calculated formation energy is -0.31 eV per formula unit. As for the crystal system: hexagonal. As for the density of states at the Fermi level: 0.32 states/eV per atom.

a b c (Å): 4.4209 4.4209 5.4704
angles (deg): 90.00 90.00 120.00
Space group P6_3/mmc (No. 194)
Unique sites:
Cd1 0.3333 0.6667 0.2500 [2 per cell]
Au1 0.0000 0.0000 0.0000 [2 per cell]